No. 1
A relaxed PRhSe2 crystal. Source: the Alexandria database, functional PBEsol.

a = 3.0444 Å, b = 4.4556 Å, c = 4.6479 Å
α = 90.00°, β = 90.00°, γ = 90.00°
Atoms (fractional coordinates):
Se1 0.0000 0.0000 0.0000
Se2 0.5000 0.0000 0.5000
P1 0.5000 0.5000 0.0000
Rh1 0.0000 0.5000 0.5000



No. 2
A relaxed Si2P4Rh crystal. Source: the Alexandria database, functional PBEsol.

a = 4.8676 Å, b = 4.8676 Å, c = 5.5146 Å
α = 108.61°, β = 108.61°, γ = 96.76°
Atoms (fractional coordinates):
Si1 0.5884 0.5884 0.8603
Si2 0.4116 0.4116 0.1397
P1 0.7132 0.1591 0.6564
P2 0.2868 0.8409 0.3436
P3 0.8409 0.2868 0.3436
P4 0.1591 0.7132 0.6564
Rh1 0.0000 0.0000 0.0000



Which raw total energy belongs to each record? In order, -5.028, -6.426 eV/atom.